(1)
Below is an optimized crystal structure of CeSc2Ag, with properties calculated at the GGA-PBE level.

V: 93 Å³ per cell
Energy relative to the elements: 22 meV per atom
Energy above the lowest structure with this stoichiometry: 105 meV/atom
Crystal system: trigonal
Fermi-level density of states: 6.6 states/eV/cell

Cell: 10.227 10.227 10.227 Å, 18.43 18.43 18.43°
Element x y z (fractional)
Ce 0.000 0.000 0.000
Sc 0.244 0.244 0.244
Sc 0.756 0.756 0.756
Ag 0.500 0.500 0.500

=====

(2)
Below is an optimized crystal structure of KYTa, with properties calculated at the GGA-PBE level.

V: 115 Å³ per cell
Energy relative to the elements: 1811 meV per atom
Energy above the lowest structure with this stoichiometry: 1085 meV/atom
Crystal system: cubic
Fermi-level density of states: 3.0 states/eV/cell

Cell: 5.461 5.461 5.461 Å, 60.00 60.00 60.00°
Element x y z (fractional)
K 0.000 0.000 0.000
Y 0.500 0.500 0.500
Ta 0.250 0.250 0.250

=====

(3)
Below is an optimized crystal structure of Nd4C2F, with properties calculated at the GGA-PBE level.

V: 152 Å³ per cell
Crystal system: monoclinic
Fermi-level density of states: 3.8 states/eV/cell
E_form (uncorrected): -6.2 eV/f.u.

Cell: 6.470 3.699 6.640 Å, 90.00 106.99 90.00°
Element x y z (fractional)
Nd 0.233 0.000 0.221
Nd 0.267 0.500 0.777
Nd 0.733 0.500 0.223
Nd 0.767 0.000 0.779
C 0.000 0.500 0.000
C 0.500 0.000 0.000
F 0.000 0.000 0.500

=====

(4)
Below is an optimized crystal structure of Cs2KRhO4, with properties calculated at the GGA-PBE level.

V: 487 Å³ per cell
Crystal system: orthorhombic
Fermi-level density of states: 2.0 states/eV/cell
E_form (uncorrected): -7.3 eV/f.u.

Cell: 13.901 12.793 7.012 Å, 83.73 66.18 30.10°
Element x y z (fractional)
Cs 0.065 0.065 0.685
Cs 0.315 0.315 0.935
Cs 0.685 0.685 0.065
Cs 0.935 0.935 0.315
K 0.125 0.125 0.125
K 0.875 0.875 0.875
Rh 0.375 0.375 0.375
Rh 0.625 0.625 0.625
O 0.070 0.603 0.488
O 0.339 0.488 0.603
O 0.397 0.930 0.661
O 0.488 0.339 0.070
O 0.512 0.661 0.930
O 0.603 0.070 0.339
O 0.661 0.512 0.397
O 0.930 0.397 0.512

=====

(5)
Below is an optimized crystal structure of Ac2In2Pb, with properties calculated at the GGA-PBE level.

V: 341 Å³ per cell
Energy relative to the elements: -432 meV per atom
Energy above the lowest structure with this stoichiometry: 29 meV/atom
Crystal system: monoclinic
Fermi-level density of states: 8.2 states/eV/cell

Cell: 6.803 6.803 11.871 Å, 112.08 112.08 42.64°
Element x y z (fractional)
Ac 0.012 0.012 0.177
Ac 0.185 0.185 0.606
Ac 0.815 0.815 0.394
Ac 0.988 0.988 0.823
In 0.357 0.357 0.938
In 0.456 0.456 0.601
In 0.544 0.544 0.399
In 0.643 0.643 0.062
Pb 0.302 0.302 0.175
Pb 0.698 0.698 0.825

=====

(6)
Below is an optimized crystal structure of CaAlGeAu3, with properties calculated at the GGA-PBE level.

V: 296 Å³ per cell
Energy relative to the elements: -331 meV per atom
Crystal system: orthorhombic
Fermi-level density of states: 5.2 states/eV/cell

Cell: 8.106 8.106 5.897 Å, 90.00 90.00 130.23°
Element x y z (fractional)
Ca 0.192 0.808 0.750
Ca 0.808 0.192 0.250
Al 0.452 0.548 0.250
Al 0.548 0.452 0.750
Ge 0.112 0.888 0.250
Ge 0.888 0.112 0.750
Au 0.213 0.213 0.000
Au 0.213 0.213 0.500
Au 0.283 0.717 0.250
Au 0.717 0.283 0.750
Au 0.787 0.787 0.000
Au 0.787 0.787 0.500

=====

(7)
Below is an optimized crystal structure of AgSb4As, with properties calculated at the GGA-PBE level.

V: 165 Å³ per cell
Crystal system: cubic
Fermi-level density of states: 4.2 states/eV/cell
E_form (uncorrected): 3.5 eV/f.u.

Cell: 6.158 6.158 6.158 Å, 60.00 60.00 60.00°
Element x y z (fractional)
Ag 0.000 0.000 0.000
Sb 0.375 0.375 0.375
Sb 0.375 0.375 0.875
Sb 0.375 0.875 0.375
Sb 0.875 0.375 0.375
As 0.750 0.750 0.750

=====

(8)
Below is an optimized crystal structure of RbMoAs2H, with properties calculated at the GGA-PBE level.

Raw total energy: -9.856 eV/f.u.
V: 168 Å³ per cell
Crystal system: tetragonal
Fermi-level density of states: 6.5 states/eV/cell

Cell: 5.705 5.705 5.155 Å, 90.00 90.00 90.00°
Element x y z (fractional)
Rb 0.000 0.000 0.000
Mo 0.000 0.000 0.500
As 0.000 0.500 0.000
As 0.500 0.000 0.000
H 0.500 0.500 0.500

=====

(9)
Below is an optimized crystal structure of La3NiPd2, with properties calculated at the GGA-PBE level.

V: 611 Å³ per cell
Energy relative to the elements: -625 meV per atom
Crystal system: orthorhombic
Fermi-level density of states: 18.6 states/eV/cell

Cell: 12.045 4.176 12.140 Å, 90.00 90.00 90.00°
Element x y z (fractional)
La 0.056 0.250 0.127
La 0.119 0.750 0.556
La 0.223 0.250 0.808
La 0.277 0.750 0.308
La 0.381 0.250 0.056
La 0.444 0.750 0.627
La 0.556 0.250 0.373
La 0.619 0.750 0.944
La 0.723 0.250 0.692
La 0.777 0.750 0.192
La 0.881 0.250 0.444
La 0.944 0.750 0.873
Ni 0.123 0.250 0.375
Ni 0.377 0.750 0.875
Ni 0.623 0.250 0.125
Ni 0.877 0.750 0.625
Pd 0.008 0.750 0.304
Pd 0.182 0.750 0.994
Pd 0.318 0.250 0.494
Pd 0.492 0.250 0.804
Pd 0.508 0.750 0.196
Pd 0.682 0.750 0.506
Pd 0.818 0.250 0.006
Pd 0.992 0.250 0.696

=====

(10)
Below is an optimized crystal structure of Tm2Be12Fe5, with properties calculated at the GGA-PBE level.

V: 206 Å³ per cell
Energy relative to the elements: -178 meV per atom
Crystal system: trigonal
Fermi-level density of states: 11.5 states/eV/cell

Cell: 5.945 5.945 5.945 Å, 82.99 82.99 82.99°
Element x y z (fractional)
Tm 0.162 0.162 0.162
Tm 0.838 0.838 0.838
Be 0.161 0.161 0.648
Be 0.161 0.648 0.161
Be 0.222 0.500 0.778
Be 0.222 0.778 0.500
Be 0.352 0.839 0.839
Be 0.500 0.222 0.778
Be 0.500 0.778 0.222
Be 0.648 0.161 0.161
Be 0.778 0.222 0.500
Be 0.778 0.500 0.222
Be 0.839 0.352 0.839
Be 0.839 0.839 0.352
Fe 0.000 0.500 0.500
Fe 0.403 0.403 0.403
Fe 0.500 0.000 0.500
Fe 0.500 0.500 0.000
Fe 0.597 0.597 0.597

=====

(11)
Below is an optimized crystal structure of Pu2Ga4PtAu3, with properties calculated at the GGA-PBE level.

V: 203 Å³ per cell
Energy relative to the elements: -475 meV per atom
Crystal system: tetragonal
Fermi-level density of states: 28.6 states/eV/cell

Cell: 4.351 4.351 10.712 Å, 90.00 90.00 90.00°
Element x y z (fractional)
Pu 0.000 0.500 0.246
Pu 0.500 0.000 0.754
Ga 0.000 0.000 0.500
Ga 0.000 0.500 0.872
Ga 0.500 0.000 0.128
Ga 0.500 0.500 0.500
Pt 0.500 0.500 0.000
Au 0.000 0.000 0.000
Au 0.000 0.500 0.637
Au 0.500 0.000 0.363

=====

(12)
Below is an optimized crystal structure of LaCrSe2, with properties calculated at the GGA-PBE level.

V: 108 Å³ per cell
Energy above the lowest structure with this stoichiometry: 497 meV/atom
Crystal system: trigonal
Fermi-level density of states: 2.4 states/eV/cell
E_form (uncorrected): -2.4 eV/f.u.

Cell: 8.853 8.853 8.853 Å, 24.87 24.87 24.87°
Element x y z (fractional)
La 0.000 0.000 0.000
Cr 0.500 0.500 0.500
Se 0.115 0.115 0.115
Se 0.885 0.885 0.885

=====

(13)
Below is an optimized crystal structure of CeErGe2Pt5, with properties calculated at the GGA-PBE level.

V: 166 Å³ per cell
Energy relative to the elements: -868 meV per atom
Crystal system: tetragonal
Fermi-level density of states: 7.1 states/eV/cell

Cell: 4.277 4.277 9.094 Å, 90.00 90.00 90.00°
Element x y z (fractional)
Ce 0.000 0.000 0.000
Er 0.000 0.000 0.500
Ge 0.500 0.500 0.368
Ge 0.500 0.500 0.632
Pt 0.000 0.500 0.229
Pt 0.000 0.500 0.771
Pt 0.500 0.000 0.229
Pt 0.500 0.000 0.771
Pt 0.500 0.500 0.000

=====

(14)
Below is an optimized crystal structure of Hf2Tc2Pb, with properties calculated at the GGA-PBE level.

V: 105 Å³ per cell
Energy relative to the elements: 225 meV per atom
Energy above the lowest structure with this stoichiometry: 158 meV/atom
Crystal system: tetragonal
Fermi-level density of states: 8.5 states/eV/cell

Cell: 8.771 8.771 8.771 Å, 156.71 156.71 33.17°
Element x y z (fractional)
Hf 0.115 0.115 0.000
Hf 0.885 0.885 0.000
Tc 0.250 0.750 0.500
Tc 0.750 0.250 0.500
Pb 0.500 0.500 0.000

=====

(15)
Below is an optimized crystal structure of ZrNbPd, with properties calculated at the GGA-PBE level.

V: 56 Å³ per cell
Energy relative to the elements: -49 meV per atom
Energy above the lowest structure with this stoichiometry: 365 meV/atom
Crystal system: trigonal
Fermi-level density of states: 4.2 states/eV/cell

Cell: 4.773 4.773 2.855 Å, 90.00 90.00 120.00°
Element x y z (fractional)
Zr 0.000 0.000 0.000
Nb 0.333 0.667 0.503
Pd 0.667 0.333 0.496

=====

(16)
Below is an optimized crystal structure of AgW2Br2, with properties calculated at the GGA-PBE level.

V: 114 Å³ per cell
Energy above the lowest structure with this stoichiometry: 0 meV/atom
Crystal system: tetragonal
Fermi-level density of states: 4.1 states/eV/cell
E_form (uncorrected): 4.9 eV/f.u.

Cell: 9.092 9.092 9.092 Å, 157.04 157.04 32.70°
Element x y z (fractional)
Ag 0.000 0.000 0.000
W 0.250 0.750 0.500
W 0.750 0.250 0.500
Br 0.387 0.387 0.000
Br 0.613 0.613 0.000

=====

(17)
Below is an optimized crystal structure of Rb4Br2Cl, with properties calculated at the GGA-PBE level.

V: 339 Å³ per cell
Energy above the lowest structure with this stoichiometry: 0 meV/atom
Crystal system: trigonal
Fermi-level density of states: 1.3 states/eV/cell
E_form (uncorrected): -10.7 eV/f.u.

Cell: 16.664 16.664 16.664 Å, 16.84 16.84 16.84°
Element x y z (fractional)
Rb 0.123 0.123 0.123
Rb 0.295 0.295 0.295
Rb 0.705 0.705 0.705
Rb 0.877 0.877 0.877
Br 0.414 0.414 0.414
Br 0.586 0.586 0.586
Cl 0.000 0.000 0.000

=====

(18)
Below is an optimized crystal structure of GeTe2Pd3, with properties calculated at the GGA-PBE level.

V: 241 Å³ per cell
Crystal system: monoclinic
Fermi-level density of states: 7.1 states/eV/cell
E_form (uncorrected): -1.7 eV/f.u.

Cell: 6.892 6.892 6.843 Å, 100.52 100.52 125.94°
Element x y z (fractional)
Ge 0.097 0.903 0.750
Ge 0.903 0.097 0.250
Te 0.275 0.725 0.250
Te 0.427 0.573 0.750
Te 0.573 0.427 0.250
Te 0.725 0.275 0.750
Pd 0.000 0.500 0.500
Pd 0.095 0.246 0.969
Pd 0.246 0.095 0.469
Pd 0.500 0.000 0.000
Pd 0.754 0.905 0.531
Pd 0.905 0.754 0.031

=====

(19)
Below is an optimized crystal structure of TbP2Pd7, with properties calculated at the GGA-PBE level.

V: 164 Å³ per cell
Energy relative to the elements: -653 meV per atom
Crystal system: tetragonal
Fermi-level density of states: 5.4 states/eV/cell

Cell: 10.380 10.380 10.380 Å, 157.50 157.50 32.04°
Element x y z (fractional)
Tb 0.000 0.000 0.000
P 0.325 0.325 0.000
P 0.675 0.675 0.000
Pd 0.109 0.609 0.500
Pd 0.250 0.750 0.500
Pd 0.391 0.891 0.500
Pd 0.500 0.500 0.000
Pd 0.609 0.109 0.500
Pd 0.750 0.250 0.500
Pd 0.891 0.391 0.500

=====

(20)
Below is an optimized crystal structure of TlAsBr2, with properties calculated at the GGA-PBE level.

V: 134 Å³ per cell
Energy above the lowest structure with this stoichiometry: 8 meV/atom
Crystal system: monoclinic
Fermi-level density of states: 0.5 states/eV/cell
E_form (uncorrected): -1.0 eV/f.u.

Cell: 6.844 6.844 5.815 Å, 114.97 114.97 33.10°
Element x y z (fractional)
Tl 0.000 0.000 0.000
As 0.500 0.500 0.500
Br 0.163 0.163 0.663
Br 0.837 0.837 0.337